# 1
# AcSm3Pb3 | Alexandria | PBE | relaxed
# Calculated formation energy: -395 meV per atom
# N(E_F): 13.85 states/eV per cell
# Energy: -4.594 eV per atom
# Density: 9.43 g/cm³
# Total moment: 0.00 μB/cell
data_AcSm3Pb3
_cell_length_a 9.7079
_cell_length_b 9.7079
_cell_length_c 5.6085
_cell_angle_alpha 90.00
_cell_angle_beta 90.00
_cell_angle_gamma 120.00
_symmetry_space_group_name_H-M 'P 63/m'
_symmetry_Int_Tables_number 176
_symmetry_space_group_name_Hall '-P 6c'
loop_
_atom_site_label
_atom_site_type_symbol
_atom_site_fract_x
_atom_site_fract_y
_atom_site_fract_z
Ac1 Ac 0.3333 0.6667 0.2500
Sm1 Sm 0.0009 0.2369 0.2500
Pb1 Pb 0.0747 0.4458 0.7500

***

# 2
# SrCr2Rh | Alexandria | PBE | relaxed
# Calculated formation energy: 576 meV per atom
# N(E_F): 5.43 states/eV per cell
# Polymorph energy (0 for the lowest one): 0.307 eV per atom
# Energy: -6.494 eV per atom
# Density: 5.96 g/cm³
# Total moment: 7.63 μB/cell
data_SrCr2Rh
_cell_length_a 3.223
_cell_length_b 3.223
_cell_length_c 7.905
_cell_angle_alpha 90.00
_cell_angle_beta 90.00
_cell_angle_gamma 90.00
_symmetry_space_group_name_H-M 'P 4/m m m'
_symmetry_Int_Tables_number 123
_symmetry_space_group_name_Hall '-P 4 2'
loop_
_atom_site_label
_atom_site_type_symbol
_atom_site_fract_x
_atom_site_fract_y
_atom_site_fract_z
Sr1 Sr 0.000 0.000 0.000
Cr1 Cr 0.500 0.500 0.323
Rh1 Rh 0.000 0.000 0.500

***

# 3
# KZnIrAuO | Alexandria | PBE | relaxed
# N(E_F): 2.82 states/eV per cell
# Polymorph energy (0 for the lowest one): 0.092 eV per atom
# Energy: -4.185 eV per atom
# Density: 9.53 g/cm³
# Total moment: 0.46 μB/cell
# Uncorrected formation energy: -291 meV per atom
data_KZnIrAuO
_cell_length_a 3.104
_cell_length_b 4.738
_cell_length_c 6.238
_cell_angle_alpha 90.00
_cell_angle_beta 104.46
_cell_angle_gamma 90.00
_symmetry_space_group_name_H-M 'P 1 m 1'
_symmetry_Int_Tables_number 6
loop_
_symmetry_equiv_pos_as_xyz
'x,y,z'
'x,-y,z'
loop_
_atom_site_label
_atom_site_type_symbol
_atom_site_fract_x
_atom_site_fract_y
_atom_site_fract_z
K1 K 0.000 0.000 0.000
Zn1 Zn 0.324 0.500 0.645
Ir1 Ir 0.651 0.500 0.300
Au1 Au 0.747 0.000 0.493
O1 O 0.490 0.500 0.979

***

# 4
# AlAgOsO6 | Alexandria | PBE | relaxed
# N(E_F): 3.25 states/eV per cell
# Energy: -6.540 eV per atom
# Density: 6.48 g/cm³
# Total moment: 0.00 μB/cell
# Uncorrected formation energy: -1254 meV per atom
data_AlAgOsO6
_cell_length_a 5.0491
_cell_length_b 5.0491
_cell_length_c 9.7701
_cell_angle_alpha 90.00
_cell_angle_beta 90.00
_cell_angle_gamma 120.00
_symmetry_space_group_name_H-M 'P -3 1 c'
_symmetry_Int_Tables_number 163
_symmetry_space_group_name_Hall '-P 3 2c'
loop_
_atom_site_label
_atom_site_type_symbol
_atom_site_fract_x
_atom_site_fract_y
_atom_site_fract_z
Al1 Al 0.3333 0.6667 0.2500
Ag1 Ag 0.0000 0.0000 0.0000
Os1 Os 0.3333 0.6667 0.7500
O1 O 0.0037 0.3780 0.6428

***

# 5
# LiYRu2 | Alexandria | PBE | relaxed
# Calculated formation energy: 157 meV per atom
# N(E_F): 4.56 states/eV per cell
# Polymorph energy (0 for the lowest one): 0.073 eV per atom
# Energy: -6.575 eV per atom
# Density: 7.49 g/cm³
# Total moment: 0.00 μB/cell
data_LiYRu2
_cell_length_a 2.980
_cell_length_b 4.423
_cell_length_c 5.063
_cell_angle_alpha 90.00
_cell_angle_beta 98.07
_cell_angle_gamma 90.00
_symmetry_space_group_name_H-M 'P 1 2/m 1'
_symmetry_Int_Tables_number 10
loop_
_symmetry_equiv_pos_as_xyz
'x,y,z'
'-x,-y,-z'
'-x,y,-z'
'x,-y,z'
loop_
_atom_site_label
_atom_site_type_symbol
_atom_site_fract_x
_atom_site_fract_y
_atom_site_fract_z
Li1 Li 0.000 0.000 0.000
Y1 Y 0.500 0.000 0.500
Ru1 Ru 0.199 0.500 0.780

***

# 6
# SrY2Ir | Alexandria | PBE | relaxed
# Calculated formation energy: 117 meV per atom
# N(E_F): 6.70 states/eV per cell
# Polymorph energy (0 for the lowest one): 0.518 eV per atom
# Energy: -5.750 eV per atom
# Density: 7.31 g/cm³
# Total moment: 0.00 μB/cell
data_SrY2Ir
_cell_length_a 4.441
_cell_length_b 4.441
_cell_length_c 10.542
_cell_angle_alpha 90.00
_cell_angle_beta 90.00
_cell_angle_gamma 90.00
_symmetry_space_group_name_H-M 'I -4 m 2'
_symmetry_Int_Tables_number 119
_symmetry_space_group_name_Hall 'I -4 -2'
loop_
_atom_site_label
_atom_site_type_symbol
_atom_site_fract_x
_atom_site_fract_y
_atom_site_fract_z
Sr1 Sr 0.000 0.000 0.000
Y1 Y 0.000 0.000 0.500
Y2 Y 0.000 0.500 0.750
Ir1 Ir 0.000 0.500 0.250

***

# 7
# Er2ThAs | Alexandria | PBE | relaxed
# Calculated formation energy: -570 meV per atom
# N(E_F): 2.58 states/eV per cell
# Energy: -5.869 eV per atom
# Density: 10.20 g/cm³
# Total moment: 0.00 μB/cell
data_Er2ThAs
_cell_length_a 3.692
_cell_length_b 3.692
_cell_length_c 7.663
_cell_angle_alpha 90.00
_cell_angle_beta 90.00
_cell_angle_gamma 90.00
_symmetry_space_group_name_H-M 'P 4/m m m'
_symmetry_Int_Tables_number 123
_symmetry_space_group_name_Hall '-P 4 2'
loop_
_atom_site_label
_atom_site_type_symbol
_atom_site_fract_x
_atom_site_fract_y
_atom_site_fract_z
Er1 Er 0.000 0.000 0.204
Th1 Th 0.500 0.500 0.500
As1 As 0.500 0.500 0.000

***

# 8
# PrYHo4S8 | Alexandria | PBE | relaxed
# N(E_F): 25.45 states/eV per cell
# Energy: -6.394 eV per atom
# Density: 5.10 g/cm³
# Total moment: 0.00 μB/cell
# Uncorrected formation energy: -1925 meV per atom
data_PrYHo4S8
_cell_length_a 8.0764
_cell_length_b 8.0764
_cell_length_c 19.8350
_cell_angle_alpha 90.00
_cell_angle_beta 90.00
_cell_angle_gamma 120.00
_symmetry_space_group_name_H-M 'R 3 m'
_symmetry_Int_Tables_number 160
_symmetry_space_group_name_Hall 'R 3 -2"'
loop_
_atom_site_label
_atom_site_type_symbol
_atom_site_fract_x
_atom_site_fract_y
_atom_site_fract_z
Pr1 Pr 0.0000 0.0000 0.0000
Y1 Y 0.0000 0.0000 0.3753
Ho1 Ho 0.0000 0.0000 0.7492
Ho2 Ho 0.1678 0.3356 0.2075
S1 S 0.0000 0.0000 0.1370
S2 S 0.0000 0.0000 0.6173
S3 S 0.0170 0.5085 0.1274
S4 S 0.1821 0.3641 0.9531

***

# 9
# CoAu2Se | Alexandria | PBE | relaxed
# N(E_F): 8.93 states/eV per cell
# Energy: -3.924 eV per atom
# Density: 12.38 g/cm³
# Total moment: 5.06 μB/cell
# Uncorrected formation energy: 362 meV per atom
data_CoAu2Se
_cell_length_a 2.8235
_cell_length_b 2.8235
_cell_length_c 31.0071
_cell_angle_alpha 90.00
_cell_angle_beta 90.00
_cell_angle_gamma 120.00
_symmetry_space_group_name_H-M 'R -3 m'
_symmetry_Int_Tables_number 166
_symmetry_space_group_name_Hall '-R 3 2"'
loop_
_atom_site_label
_atom_site_type_symbol
_atom_site_fract_x
_atom_site_fract_y
_atom_site_fract_z
Co1 Co 0.0000 0.0000 0.0000
Au1 Au 0.0000 0.0000 0.2629
Se1 Se 0.0000 0.0000 0.5000

***

# 10
# HfTl2AgAu | Alexandria | PBE | relaxed
# Calculated formation energy: 850 meV per atom
# N(E_F): 3.39 states/eV per cell
# Energy: -3.312 eV per atom
# Density: 10.76 g/cm³
# Total moment: 0.00 μB/cell
data_HfTl2AgAu
_cell_length_a 5.187
_cell_length_b 5.187
_cell_length_c 5.117
_cell_angle_alpha 90.00
_cell_angle_beta 90.00
_cell_angle_gamma 90.00
_symmetry_space_group_name_H-M 'P 4/m m m'
_symmetry_Int_Tables_number 123
_symmetry_space_group_name_Hall '-P 4 2'
loop_
_atom_site_label
_atom_site_type_symbol
_atom_site_fract_x
_atom_site_fract_y
_atom_site_fract_z
Hf1 Hf 0.000 0.000 0.000
Tl1 Tl 0.000 0.500 0.500
Ag1 Ag 0.500 0.500 0.500
Au1 Au 0.500 0.500 0.000

***

# 11
# Ta2TcIF | Alexandria | PBE | relaxed
# N(E_F): 5.14 states/eV per cell
# Polymorph energy (0 for the lowest one): 0.000 eV per atom
# Energy: -6.656 eV per atom
# Density: 11.35 g/cm³
# Total moment: 1.29 μB/cell
# Uncorrected formation energy: 843 meV per atom
data_Ta2TcIF
_cell_length_a 4.211
_cell_length_b 4.211
_cell_length_c 4.999
_cell_angle_alpha 90.00
_cell_angle_beta 90.00
_cell_angle_gamma 90.00
_symmetry_space_group_name_H-M 'P 4/m m m'
_symmetry_Int_Tables_number 123
_symmetry_space_group_name_Hall '-P 4 2'
loop_
_atom_site_label
_atom_site_type_symbol
_atom_site_fract_x
_atom_site_fract_y
_atom_site_fract_z
Ta1 Ta 0.000 0.500 0.000
Tc1 Tc 0.000 0.000 0.500
I1 I 0.500 0.500 0.500
F1 F 0.000 0.000 0.000

***

# 12
# NaLa2Ge | Alexandria | PBE | relaxed
# Calculated formation energy: -315 meV per atom
# N(E_F): 3.75 states/eV per cell
# Energy: -4.263 eV per atom
# Density: 4.97 g/cm³
# Total moment: 0.00 μB/cell
data_NaLa2Ge
_cell_length_a 3.961
_cell_length_b 3.961
_cell_length_c 7.944
_cell_angle_alpha 90.00
_cell_angle_beta 90.00
_cell_angle_gamma 90.00
_symmetry_space_group_name_H-M 'P 4/m m m'
_symmetry_Int_Tables_number 123
_symmetry_space_group_name_Hall '-P 4 2'
loop_
_atom_site_label
_atom_site_type_symbol
_atom_site_fract_x
_atom_site_fract_y
_atom_site_fract_z
Na1 Na 0.000 0.000 0.000
La1 La 0.500 0.500 0.309
Ge1 Ge 0.000 0.000 0.500

***

# 13
# SmAl3Ni2 | Alexandria | PBE | relaxed
# Calculated formation energy: -634 meV per atom
# N(E_F): 7.81 states/eV per cell
# Energy: -5.219 eV per atom
# Density: 5.90 g/cm³
# Total moment: 0.00 μB/cell
data_SmAl3Ni2
_cell_length_a 9.1077
_cell_length_b 9.1077
_cell_length_c 4.0951
_cell_angle_alpha 90.00
_cell_angle_beta 90.00
_cell_angle_gamma 120.00
_symmetry_space_group_name_H-M 'P 6/m m m'
_symmetry_Int_Tables_number 191
_symmetry_space_group_name_Hall '-P 6 2'
loop_
_atom_site_label
_atom_site_type_symbol
_atom_site_fract_x
_atom_site_fract_y
_atom_site_fract_z
Sm1 Sm 0.0000 0.0000 0.0000
Sm2 Sm 0.3333 0.6667 0.5000
Al1 Al 0.0000 0.2966 0.5000
Al2 Al 0.0000 0.5000 0.0000
Ni1 Ni 0.1820 0.3640 0.0000

***

# 14
# Pm8YHo5 | Alexandria | PBE | relaxed
# Calculated formation energy: 251 meV per atom
# N(E_F): 41.73 states/eV per cell
# Energy: -4.560 eV per atom
# Density: 7.18 g/cm³
# Total moment: 0.00 μB/cell
data_Pm8YHo5
_cell_length_a 9.661
_cell_length_b 9.661
_cell_length_c 10.271
_cell_angle_alpha 90.00
_cell_angle_beta 90.00
_cell_angle_gamma 90.00
_symmetry_space_group_name_H-M 'I -4'
_symmetry_Int_Tables_number 82
loop_
_symmetry_equiv_pos_as_xyz
'x,y,z'
'y,-x,-z'
'-x,-y,z'
'-y,x,-z'
'x+1/2,y+1/2,z+1/2'
'y+1/2,-x+1/2,-z+1/2'
'-x+1/2,-y+1/2,z+1/2'
'-y+1/2,x+1/2,-z+1/2'
loop_
_atom_site_label
_atom_site_type_symbol
_atom_site_fract_x
_atom_site_fract_y
_atom_site_fract_z
Pm1 Pm 0.069 0.326 0.403
Pm2 Pm 0.089 0.176 0.747
Y1 Y 0.000 0.500 0.750
Ho1 Ho 0.000 0.000 0.500
Ho2 Ho 0.109 0.206 0.073

***

# 15
# PmMgAlAu2 | Alexandria | PBE | relaxed
# Calculated formation energy: -661 meV per atom
# N(E_F): 5.95 states/eV per cell
# Energy: -3.990 eV per atom
# Density: 9.10 g/cm³
# Total moment: 0.00 μB/cell
data_PmMgAlAu2
_cell_length_a 4.207
_cell_length_b 4.207
_cell_length_c 12.174
_cell_angle_alpha 90.00
_cell_angle_beta 90.00
_cell_angle_gamma 90.00
_symmetry_space_group_name_H-M 'I -4 m 2'
_symmetry_Int_Tables_number 119
_symmetry_space_group_name_Hall 'I -4 -2'
loop_
_atom_site_label
_atom_site_type_symbol
_atom_site_fract_x
_atom_site_fract_y
_atom_site_fract_z
Pm1 Pm 0.000 0.000 0.000
Mg1 Mg 0.000 0.500 0.750
Al1 Al 0.000 0.500 0.250
Au1 Au 0.000 0.000 0.386

***

# 16
# MgCdW2 | Alexandria | PBE | relaxed
# Calculated formation energy: 403 meV per atom
# N(E_F): 1.68 states/eV per cell
# Polymorph energy (0 for the lowest one): 0.115 eV per atom
# Energy: -6.701 eV per atom
# Density: 11.78 g/cm³
# Total moment: 0.00 μB/cell
data_MgCdW2
_cell_length_a 2.804
_cell_length_b 4.434
_cell_length_c 5.869
_cell_angle_alpha 90.00
_cell_angle_beta 102.90
_cell_angle_gamma 90.00
_symmetry_space_group_name_H-M 'P 1 m 1'
_symmetry_Int_Tables_number 6
loop_
_symmetry_equiv_pos_as_xyz
'x,y,z'
'x,-y,z'
loop_
_atom_site_label
_atom_site_type_symbol
_atom_site_fract_x
_atom_site_fract_y
_atom_site_fract_z
Mg1 Mg 0.000 0.000 0.000
Cd1 Cd 0.242 0.500 0.755
W1 W 0.565 0.000 0.467
W2 W 0.750 0.500 0.262

***

# 17
# PmRhAu2 | Alexandria | PBE | relaxed
# Calculated formation energy: -593 meV per atom
# N(E_F): 0.89 states/eV per cell
# Polymorph energy (0 for the lowest one): 0.000 eV per atom
# Energy: -5.257 eV per atom
# Density: 13.73 g/cm³
# Total moment: 0.00 μB/cell
data_PmRhAu2
_cell_length_a 4.173
_cell_length_b 4.173
_cell_length_c 4.459
_cell_angle_alpha 90.00
_cell_angle_beta 90.00
_cell_angle_gamma 90.00
_symmetry_space_group_name_H-M 'P 4/m m m'
_symmetry_Int_Tables_number 123
_symmetry_space_group_name_Hall '-P 4 2'
loop_
_atom_site_label
_atom_site_type_symbol
_atom_site_fract_x
_atom_site_fract_y
_atom_site_fract_z
Pm1 Pm 0.000 0.000 0.000
Rh1 Rh 0.500 0.500 0.000
Au1 Au 0.000 0.500 0.500

***

# 18
# FeHgP2S | Alexandria | PBE | relaxed
# N(E_F): 2.09 states/eV per cell
# Polymorph energy (0 for the lowest one): 0.000 eV per atom
# Energy: -4.336 eV per atom
# Density: 6.23 g/cm³
# Total moment: 0.00 μB/cell
# Uncorrected formation energy: 406 meV per atom
data_FeHgP2S
_cell_length_a 4.204
_cell_length_b 4.204
_cell_length_c 5.284
_cell_angle_alpha 90.00
_cell_angle_beta 90.00
_cell_angle_gamma 90.00
_symmetry_space_group_name_H-M 'P 4/m m m'
_symmetry_Int_Tables_number 123
_symmetry_space_group_name_Hall '-P 4 2'
loop_
_atom_site_label
_atom_site_type_symbol
_atom_site_fract_x
_atom_site_fract_y
_atom_site_fract_z
Fe1 Fe 0.000 0.000 0.000
Hg1 Hg 0.500 0.500 0.500
P1 P 0.000 0.500 0.000
S1 S 0.000 0.000 0.500

***

# 19
# TlCo2Si | Alexandria | PBE | relaxed
# N(E_F): 5.50 states/eV per cell
# Polymorph energy (0 for the lowest one): 0.220 eV per atom
# Energy: -5.247 eV per atom
# Density: 10.13 g/cm³
# Total moment: 0.00 μB/cell
# Uncorrected formation energy: 253 meV per atom
data_TlCo2Si
_cell_length_a 3.594
_cell_length_b 4.609
_cell_length_c 6.931
_cell_angle_alpha 90.00
_cell_angle_beta 90.00
_cell_angle_gamma 90.00
_symmetry_space_group_name_H-M 'I m m m'
_symmetry_Int_Tables_number 71
_symmetry_space_group_name_Hall '-I 2 2'
loop_
_atom_site_label
_atom_site_type_symbol
_atom_site_fract_x
_atom_site_fract_y
_atom_site_fract_z
Tl1 Tl 0.000 0.000 0.000
Co1 Co 0.000 0.500 0.199
Si1 Si 0.000 0.000 0.500

***

# 20
# RbBa2Tl | Alexandria | PBE | relaxed
# Calculated formation energy: 0 meV per atom
# N(E_F): 4.16 states/eV per cell
# Polymorph energy (0 for the lowest one): 0.202 eV per atom
# Energy: -1.795 eV per atom
# Density: 4.79 g/cm³
# Total moment: 0.75 μB/cell
data_RbBa2Tl
_cell_length_a 6.349
_cell_length_b 6.349
_cell_length_c 4.856
_cell_angle_alpha 90.00
_cell_angle_beta 90.00
_cell_angle_gamma 90.00
_symmetry_space_group_name_H-M 'P 4/m m m'
_symmetry_Int_Tables_number 123
_symmetry_space_group_name_Hall '-P 4 2'
loop_
_atom_site_label
_atom_site_type_symbol
_atom_site_fract_x
_atom_site_fract_y
_atom_site_fract_z
Rb1 Rb 0.000 0.000 0.000
Ba1 Ba 0.000 0.500 0.500
Tl1 Tl 0.500 0.500 0.000